Record 1
Material: Rb3MgF
Method: DFT, PBE
State: relaxed

Structure (POSCAR):
```
Rb3MgF
1.0
5.931 0.000 0.000
0.000 5.931 0.000
0.000 0.000 5.931
Rb Mg F
3 1 1
Direct
0.000 0.500 0.000
0.500 0.000 0.000
0.000 0.000 0.500
0.500 0.500 0.500
0.000 0.000 0.000
```

Its formation energy without anion corrections is -0.897 eV/atom. The excess energy over the best structure of this formula in the dataset comes out at 0 meV per atom. The space-group type is Pm-3m (221).

---

Record 2
Material: K2GeI2Cl2
Method: DFT, PBE
State: relaxed

Structure (POSCAR):
```
K2GeI2Cl2
1.0
4.473 0.000 0.001
0.001 8.226 0.424
2.236 3.809 7.180
Ge Cl K I
1 2 2 2
Direct
0.000 0.000 0.000
0.185 0.118 0.631
0.815 0.882 0.369
0.166 0.716 0.668
0.834 0.284 0.332
0.530 0.284 0.939
0.470 0.716 0.061
```

Its formation energy without anion corrections is -1.207 eV/atom. The space-group type is C2/m (12).

---

Record 3
Material: CsLaSe2
Method: DFT, PBE
State: relaxed

Structure (POSCAR):
```
CsLaSe2
1.0
-17.604 5.901 -6.653
-0.170 -0.174 -9.131
0.442 -9.122 0.165
La Cs Se
8 8 16
Direct
0.648 0.263 0.361
0.648 0.765 0.361
0.148 0.139 0.735
0.352 0.737 0.639
0.148 0.139 0.237
0.852 0.861 0.265
0.852 0.861 0.763
0.352 0.235 0.639
0.122 0.659 0.466
0.378 0.966 0.159
0.622 0.034 0.841
0.878 0.341 0.534
0.875 0.343 0.030
0.125 0.657 0.970
0.625 0.530 0.843
0.375 0.470 0.157
0.451 0.412 0.713
0.250 0.314 0.312
0.750 0.188 0.688
0.453 0.910 0.715
0.049 0.213 0.912
0.549 0.588 0.287
0.951 0.787 0.088
0.250 0.812 0.312
0.250 0.812 0.814
0.750 0.188 0.186
0.047 0.215 0.410
0.250 0.314 0.814
0.750 0.686 0.186
0.547 0.090 0.285
0.750 0.686 0.688
0.953 0.785 0.590
```

Its formation energy without anion corrections is -1.618 eV/atom. The space-group type is C2/c (15).

---

Record 4
Material: SrBeHg
Method: DFT, PBE
State: relaxed

Structure (POSCAR):
```
SrBeHg
1.0
-0.244 4.360 2.788
-1.783 -0.131 4.863
3.249 0.721 3.971
Be Sr Hg
1 1 1
Direct
0.000 0.000 0.000
0.750 0.750 0.750
0.500 0.500 0.500
```

The excess energy over the best structure of this formula in the dataset comes out at 676 meV per atom. The space-group type is F-43m (216). For the formation energy from the elements, the calculation gives 0.626 eV per atom.

---

no.,total magnetization (Bohr magnetons per cell),total energy (eV/cell)
1,0.00,-10.86
2,0.00,-22.06
3,0.00,-153.77
4,0.00,-3.83